(1)
The following is a PBE calculation of BeNb3P after structural relaxation, from the Alexandria database.

Calculated values
Energy above the most stable polymorph in this dataset, eV per atom: 0.000
Energy of formation, eV/atom: -0.511

POSCAR file:
```
BeNb3P
1.0
8.806 -1.712 0.000
8.806 1.712 0.000
-0.757 0.000 5.054
Be Nb P
2 6 2
Cartesian
4.065 0.000 0.539 Be
12.790 0.000 4.515 Be
-0.174 0.000 1.236 Nb
2.877 0.000 2.959 Nb
5.811 0.000 4.687 Nb
11.044 0.000 0.367 Nb
13.978 0.000 2.095 Nb
17.029 0.000 3.818 Nb
6.953 0.000 2.275 P
9.902 0.000 2.778 P
```

***

(2)
The following is a PBE calculation of Be2Nb3P2 after structural relaxation, from the Alexandria database.

Calculated values
Energy of formation, eV/atom: -0.653

POSCAR file:
```
Be2Nb3P2
1.0
3.433 0.000 0.000
0.000 3.515 0.000
0.000 0.000 15.336
Be Nb P
4 6 4
Cartesian
0.000 0.000 0.981 Be
0.000 0.000 14.355 Be
1.716 1.758 6.687 Be
1.716 1.758 8.649 Be
0.000 0.000 7.668 Nb
0.000 1.758 4.793 Nb
0.000 1.758 10.543 Nb
1.716 0.000 2.875 Nb
1.716 0.000 12.461 Nb
1.716 1.758 0.000 Nb
0.000 1.758 2.145 P
0.000 1.758 13.191 P
1.716 0.000 5.523 P
1.716 0.000 9.813 P
```

***

(3)
The following is a PBE calculation of BeNbP2 after structural relaxation, from the Alexandria database.

Calculated values
Energy of formation, eV/atom: -0.078

POSCAR file:
```
BeNbP2
1.0
5.469 0.000 0.000
0.000 5.469 0.000
0.000 0.000 10.013
Be Nb P
4 4 8
Cartesian
0.000 0.000 0.000 Be
0.000 2.735 2.503 Be
2.735 0.000 7.510 Be
2.735 2.735 5.006 Be
0.000 0.000 5.006 Nb
0.000 2.735 7.510 Nb
2.735 0.000 2.503 Nb
2.735 2.735 0.000 Nb
1.155 1.367 1.252 P
1.367 3.889 3.755 P
1.367 4.315 8.761 P
1.580 1.367 6.258 P
3.889 4.102 6.258 P
4.102 1.155 8.761 P
4.102 1.580 3.755 P
4.315 4.102 1.252 P
```

***

(4)
The following is a PBE calculation of Be2Nb2P after structural relaxation, from the Alexandria database.

Calculated values
Energy of formation, eV/atom: -0.259

POSCAR file:
```
Be2Nb2P
1.0
5.907 0.000 0.000
0.000 5.907 0.000
0.000 0.000 3.614
Be Nb P
4 4 2
Cartesian
0.714 2.240 0.000 Be
2.240 5.194 0.000 Be
3.667 0.714 0.000 Be
5.194 3.667 0.000 Be
1.066 4.020 1.807 Nb
1.887 1.066 1.807 Nb
4.020 4.841 1.807 Nb
4.841 1.887 1.807 Nb
0.000 0.000 0.000 P
2.954 2.954 0.000 P
```

***

(5)
The following is a PBE calculation of BeNb3P2 after structural relaxation, from the Alexandria database.

Calculated values
Energy of formation, eV/atom: -0.718

POSCAR file:
```
BeNb3P2
1.0
9.845 0.000 0.000
0.000 3.512 0.000
0.000 0.000 9.868
Be Nb P
4 12 8
Cartesian
1.278 0.878 1.230 Be
3.644 2.634 6.164 Be
6.201 0.878 3.704 Be
8.567 2.634 8.638 Be
0.571 0.878 3.716 Nb
1.197 2.634 9.256 Nb
2.034 0.878 6.913 Nb
2.889 2.634 1.979 Nb
3.725 0.878 4.322 Nb
4.352 2.634 8.649 Nb
5.493 0.878 1.218 Nb
6.120 2.634 5.546 Nb
6.956 0.878 7.888 Nb
7.811 2.634 2.954 Nb
8.648 0.878 0.612 Nb
9.274 2.634 6.152 Nb
0.264 2.634 1.829 P
1.857 2.634 5.008 P
3.065 0.878 0.074 P
4.659 0.878 6.763 P
5.187 2.634 3.105 P
6.780 2.634 9.794 P
7.988 0.878 4.860 P
9.581 0.878 8.039 P
```

***

(6)
The following is a PBE calculation of Be2NbP after structural relaxation, from the Alexandria database.

Calculated values
Energy of formation, eV/atom: 0.037

POSCAR file:
```
Be2NbP
1.0
6.559 0.000 0.000
0.000 6.559 0.000
0.000 0.000 4.831
Be Nb P
8 4 4
Cartesian
1.285 4.919 0.604 Be
1.640 1.285 4.227 Be
1.640 1.995 1.812 Be
1.995 4.919 3.020 Be
4.564 1.640 3.020 Be
4.919 4.564 1.812 Be
4.919 5.274 4.227 Be
5.274 1.640 0.604 Be
0.000 0.000 2.416 Nb
0.000 3.279 3.623 Nb
3.279 0.000 1.208 Nb
3.279 3.279 0.000 Nb
0.000 0.000 0.000 P
0.000 3.279 1.208 P
3.279 0.000 3.623 P
3.279 3.279 2.416 P
```

***

(7)
The following is a PBE calculation of Be2Nb3P after structural relaxation, from the Alexandria database.

Calculated values
Energy of formation, eV/atom: -0.507

POSCAR file:
```
Be2Nb3P
1.0
10.018 0.000 0.000
0.000 3.477 0.000
0.000 0.000 9.603
Be Nb P
8 12 4
Cartesian
0.278 0.869 1.876 Be
1.958 0.869 4.696 Be
3.051 2.607 9.498 Be
4.731 2.607 6.678 Be
5.287 0.869 2.926 Be
6.967 0.869 0.106 Be
8.060 2.607 4.907 Be
9.740 2.607 7.727 Be
0.457 2.607 3.678 Nb
1.143 0.869 8.942 Nb
2.051 2.607 6.771 Nb
2.958 0.869 1.969 Nb
3.866 2.607 4.140 Nb
4.552 0.869 8.480 Nb
5.466 2.607 1.124 Nb
6.152 0.869 5.463 Nb
7.060 2.607 7.634 Nb
7.967 0.869 2.832 Nb
8.875 2.607 0.661 Nb
9.561 0.869 5.926 Nb
1.315 2.607 1.210 P
3.694 0.869 6.012 P
6.324 2.607 3.591 P
8.703 0.869 8.393 P
```

***

(8)
The following is a PBE calculation of BeNbP2S after structural relaxation, from the Alexandria database.

Calculated values
Energy above the most stable polymorph in this dataset, eV per atom: 0.189
Formation energy (no corrections), eV/atom: 0.695

POSCAR file:
```
BeNbP2S
1.0
4.867 0.000 0.000
0.000 4.867 0.000
0.000 0.000 4.692
Be Nb P S
1 1 2 1
Cartesian
0.000 0.000 0.000 Be
2.433 2.433 2.346 Nb
0.000 2.433 2.346 P
2.433 0.000 2.346 P
2.433 2.433 0.000 S
```